(1)
An optimized crystal structure of TlBiSe, computed with PBE.

Results
DFT total energy = -3.3844 eV/atom
total magnetization = 0.00 Bohr magnetons per cell
formation energy without anion corrections = -13.6 kJ/mol of atoms
theoretical density = 8.478 g/cm3
DOS at the Fermi energy = 0.88 states/eV/f.u.
symmetry = I4mm
polymorph energy (0 for the lowest one) = 71 meV/atom

abc: 4.0337 4.0337 6.5769
angles: 107.86 107.86 90.00
Closest atoms and distances in Å follow each position.
Atoms (fractional coordinates):
Se1 0.7141 0.7141 0.4283  4 Bi 2.99, 1 Tl 3.33
Bi1 0.2905 0.2905 0.5810  4 Se 2.99
Tl1 0.9954 0.9954 0.9908  1 Se 3.33, 1 Bi 3.50

---

(2)
An optimized crystal structure of KTcAs2, computed with PBE.

Results
formation energy from the elements = -0.105 eV/atom
DFT total energy = -5.2954 eV/atom
total magnetization = 0.76 Bohr magnetons per cell
theoretical density = 5.285 g/cm3
DOS at the Fermi energy = 3.06 states/eV/f.u.
symmetry = C2/m
polymorph energy (0 for the lowest one) = 144 meV/atom

abc: 4.2742 4.2742 7.1652
angles: 80.13 80.13 44.49
Closest atoms and distances in Å follow each position.
Atoms (fractional coordinates):
As1 0.5228 0.5228 0.4107  3 Tc 2.53-2.63
As2 0.9772 0.9772 0.0893  3 Tc 2.53-2.63
K1 0.7500 0.7500 0.7500  2 K 3.24, 6 As 3.28-3.35
Tc1 0.2500 0.2500 0.2500  6 As 2.53-2.63

---

(3)
An optimized crystal structure of BaPaHgBr6, computed with PBE.

Results
DFT total energy = -3.9440 eV/atom
total magnetization = 2.02 Bohr magnetons per cell
formation energy without anion corrections = -147.3 kJ/mol of atoms
theoretical density = 3.585 g/cm3
symmetry = P-31c

abc: 8.0895 8.0895 17.1373
angles: 90.00 90.00 120.00
Closest atoms and distances in Å follow each position.
Atoms (fractional coordinates):
Br1 0.9589 0.6094 0.3452  1 Pa 2.82
Br2 0.3906 0.0411 0.1548  1 Pa 2.82
Br3 0.0411 0.6504 0.8452  1 Pa 2.82
Br4 0.9589 0.3496 0.1548  1 Pa 2.82
Br5 0.3496 0.3906 0.8452  1 Pa 2.82
Br6 0.3906 0.3496 0.3452  1 Pa 2.82
Br7 0.6094 0.6504 0.6548  1 Pa 2.82
Br8 0.3496 0.9589 0.6548  1 Pa 2.82
Br9 0.0411 0.3906 0.6548  1 Pa 2.82
Br10 0.6504 0.0411 0.3452  1 Pa 2.82
Br11 0.6094 0.9589 0.8452  1 Pa 2.82
Br12 0.6504 0.6094 0.1548  1 Pa 2.82
Ba1 0.6667 0.3333 0.7500  6 Br 3.26
Ba2 0.3333 0.6667 0.2500  6 Br 3.26
Hg1 0.0000 0.0000 0.5000  6 Br 4.01
Hg2 0.0000 0.0000 0.0000  6 Br 4.01
Pa1 0.3333 0.6667 0.7500  6 Br 2.82
Pa2 0.6667 0.3333 0.2500  6 Br 2.82

---

(4)
An optimized crystal structure of MgPRhF2, computed with PBE.

Results
DFT total energy = -4.4966 eV/atom
total magnetization = 0.00 Bohr magnetons per cell
formation energy without anion corrections = -84.6 kJ/mol of atoms
theoretical density = 4.029 g/cm3
DOS at the Fermi energy = 2.77 states/eV/f.u.
symmetry = P4/mmm

abc: 4.1217 4.1217 4.7598
angles: 90.00 90.00 90.00
Closest atoms and distances in Å follow each position.
Atoms (fractional coordinates):
F1 0.0000 0.5000 0.0000  2 Rh 2.06
F2 0.5000 0.0000 0.0000  2 Rh 2.06
Mg1 0.5000 0.5000 0.5000  4 P 2.91, 8 F 3.15
Rh1 0.0000 0.0000 0.0000  4 F 2.06
P1 0.0000 0.0000 0.5000  2 Rh 2.38

---

(5)
An optimized crystal structure of CaH3Ir, computed with PBE.

Results
DFT total energy = -4.1487 eV/atom
total magnetization = 0.00 Bohr magnetons per cell
theoretical density = 6.163 g/cm3
DOS at the Fermi energy = 1.27 states/eV/f.u.
symmetry = R3m

abc: 4.0011 4.0011 4.0011
angles: 94.59 94.59 94.59
Closest atoms and distances in Å follow each position.
Atoms (fractional coordinates):
Ca1 0.4905 0.4905 0.4905  6 H 2.17-2.35
H1 0.6856 0.0475 0.6856  1 Ir 1.59
H2 0.6856 0.6856 0.0475  1 Ir 1.59
H3 0.0475 0.6856 0.6856  1 Ir 1.59
Ir1 0.9659 0.9659 0.9659  3 H 1.59

---

(6)
An optimized crystal structure of Cr2CdPt, computed with PBE.

Results
formation energy from the elements = 0.801 eV/atom
DFT total energy = -5.7497 eV/atom
total magnetization = 0.01 Bohr magnetons per cell
theoretical density = 10.326 g/cm3
DOS at the Fermi energy = 5.51 states/eV/f.u.
symmetry = I-42d

abc: 7.1203 7.1203 5.6713
angles: 51.12 51.12 90.00
Closest atoms and distances in Å follow each position.
Atoms (fractional coordinates):
Cd1 0.2500 0.7500 0.5000  2 Pt 2.61, 4 Cr 2.77
Cd2 0.5000 0.5000 0.0000  2 Pt 2.61, 4 Cr 2.77
Pt1 0.7500 0.2500 0.5000  4 Cr 2.44, 2 Cd 2.61
Pt2 0.0000 0.0000 0.0000  4 Cr 2.44, 2 Cd 2.61
Cr1 0.3750 0.3414 0.7500  2 Pt 2.44, 2 Cr 2.65
Cr2 0.0914 0.6250 0.2500  2 Pt 2.44, 2 Cr 2.65
Cr3 0.6586 0.1250 0.2500  2 Pt 2.44, 2 Cr 2.65
Cr4 0.8750 0.9086 0.7500  2 Pt 2.44, 2 Cr 2.65

---

(7)
An optimized crystal structure of MgScI2, computed with PBE.

Results
DFT total energy = -3.0409 eV/atom
total magnetization = 1.09 Bohr magnetons per cell
formation energy without anion corrections = -27.4 kJ/mol of atoms
theoretical density = 4.944 g/cm3
DOS at the Fermi energy = 3.03 states/eV/f.u.
symmetry = Fm-3m
polymorph energy (0 for the lowest one) = 121 meV/atom

abc: 5.3538 5.3538 5.3538
angles: 60.00 60.00 60.00
Closest atoms and distances in Å follow each position.
Atoms (fractional coordinates):
I1 0.7500 0.7500 0.7500  4 Sc 3.28, 4 Mg 3.28
I2 0.2500 0.2500 0.2500  4 Mg 3.28, 4 Sc 3.28
Mg1 0.0000 0.0000 0.0000  8 I 3.28
Sc1 0.5000 0.5000 0.5000  8 I 3.28

---

(8)
An optimized crystal structure of Rb2ZnHgP, computed with PBE.

Results
formation energy from the elements = -0.145 eV/atom
DFT total energy = -1.9287 eV/atom
total magnetization = 0.00 Bohr magnetons per cell
theoretical density = 3.731 g/cm3
DOS at the Fermi energy = 1.97 states/eV/f.u.
symmetry = P4/mmm
polymorph energy (0 for the lowest one) = 0 meV/atom

abc: 6.7475 6.7475 4.5736
angles: 90.00 90.00 90.00
Closest atoms and distances in Å follow each position.
Atoms (fractional coordinates):
Hg1 0.5000 0.5000 0.5000  8 Rb 4.08
P1 0.0000 0.0000 0.0000  2 Zn 2.29
Rb1 0.0000 0.5000 0.0000  2 P 3.37
Rb2 0.5000 0.0000 0.0000  2 P 3.37
Zn1 0.0000 0.0000 0.5000  2 P 2.29